An optimized crystal structure of TbGd2Cu, computed with GGA-PBE.

Unit cell a=11.4444 b=11.4444 c=11.4444 alpha=17.40 beta=17.40 gamma=17.40
Positions (direct):
Tb1 0.0000 0.0000 0.0000
Gd1 0.4179 0.4179 0.4179
Gd2 0.5821 0.5821 0.5821
Cu1 0.5000 0.5000 0.5000

E_form = 0.420 eV per atom
ΔE to the lowest computed polymorph = 499 meV per atom
SG = R-3m, No. 166
spin magnetization = 14.9 μB/f.u.

An optimized crystal structure of Tb2GdCu, computed with GGA-PBE.

Unit cell a=10.1982 b=10.1982 c=10.1982 alpha=20.28 beta=20.28 gamma=20.28
Positions (direct):
Tb1 0.2346 0.2346 0.2346
Tb2 0.7654 0.7654 0.7654
Gd1 0.0000 0.0000 0.0000
Cu1 0.5000 0.5000 0.5000

E_form = 0.040 eV per atom
ΔE to the lowest computed polymorph = 127 meV per atom
SG = R-3m, No. 166
spin magnetization = 7.3 μB/f.u.

An optimized crystal structure of TbGdCu, computed with GGA-PBE.

Unit cell a=4.8012 b=4.8012 c=3.7709 alpha=90.00 beta=90.00 gamma=120.00
Positions (direct):
Tb1 0.0000 0.0000 0.0000
Gd1 0.6667 0.3333 0.5380
Cu1 0.3333 0.6667 0.2500

E_form = 0.056 eV per atom
ΔE to the lowest computed polymorph = 182 meV per atom
SG = P3m1, No. 156
spin magnetization = 7.3 μB/f.u.

Q: Which value of E_form does entry 1 give?
A: 0.420 eV per atom

Repeat the first record exactly.
An optimized crystal structure of TbGd2Cu, computed with GGA-PBE.

Unit cell a=11.4444 b=11.4444 c=11.4444 alpha=17.40 beta=17.40 gamma=17.40
Positions (direct):
Tb1 0.0000 0.0000 0.0000
Gd1 0.4179 0.4179 0.4179
Gd2 0.5821 0.5821 0.5821
Cu1 0.5000 0.5000 0.5000

E_form = 0.420 eV per atom
ΔE to the lowest computed polymorph = 499 meV per atom
SG = R-3m, No. 166
spin magnetization = 14.9 μB/f.u.

Q: Look up the ΔE to the lowest computed polymorph of the second one.
A: 127 meV per atom